Th5Ge4S | PBE | optimized geometry

The volume is 547 Å³/cell.

Cell lengths 9.5348, 9.5348, 6.0208 Å; angles 90.00, 90.00, 90.00 degrees
Space group I4/m (No. 87)
Asymmetric unit:
Th1 0.0000 0.0000 0.0000 [2 per cell]
Th2 0.0995 0.2991 0.5000 [8 per cell]
Ge1 0.0993 0.2987 0.0000 [8 per cell]
S1 0.0000 0.0000 0.5000 [2 per cell]

---

Th4GeS3 | PBE | optimized geometry

The volume is 197 Å³/cell.

Cell lengths 5.8232, 5.8232, 5.8232 Å; angles 90.00, 90.00, 90.00 degrees
Space group Pm-3m (No. 221)
Asymmetric unit:
Th1 0.0000 0.0000 0.0000 [1 per cell]
Th2 0.0000 0.5000 0.5000 [3 per cell]
Ge1 0.5000 0.5000 0.5000 [1 per cell]
S1 0.0000 0.0000 0.5000 [3 per cell]

---

ThGe2S6 | PBE | optimized geometry

The volume is 897 Å³/cell.

Cell lengths 13.0370, 10.8575, 6.7912 Å; angles 90.00, 110.99, 90.00 degrees
Space group C2/c (No. 15)
Asymmetric unit:
Th1 0.0000 0.1567 0.2500 [4 per cell]
Ge1 0.2001 0.4286 0.2329 [8 per cell]
S1 0.1154 0.0607 0.6532 [8 per cell]
S2 0.1334 0.4127 0.4961 [8 per cell]
S3 0.1340 0.2586 0.0633 [8 per cell]

---

Th5GeS4 | PBE | optimized geometry

The volume is 487 Å³/cell.

Cell lengths 4.1512, 5.7928, 20.2603 Å; angles 90.00, 90.00, 90.00 degrees
Space group Immm (No. 71)
Asymmetric unit:
Th1 0.0000 0.0000 0.0000 [2 per cell]
Th2 0.0000 0.0000 0.1997 [4 per cell]
Th3 0.0000 0.0000 0.3957 [4 per cell]
Ge1 0.0000 0.5000 0.0000 [2 per cell]
S1 0.0000 0.5000 0.2032 [4 per cell]
S2 0.0000 0.5000 0.3999 [4 per cell]

---

Th4Ge2S | PBE | optimized geometry

The volume is 727 Å³/cell.

Cell lengths 8.9255, 8.9255, 9.1297 Å; angles 90.00, 90.00, 90.00 degrees
Space group I-42d (No. 122)
Asymmetric unit:
Th1 0.0704 0.6916 0.4415 [16 per cell]
Ge1 0.1169 0.7500 0.1250 [8 per cell]
S1 0.0000 0.0000 0.5000 [4 per cell]

---

Th3Ge2S2 | PBE | optimized geometry

The volume is 358 Å³/cell.

Cell lengths 11.4073, 4.2592, 7.9458 Å; angles 90.00, 112.15, 90.00 degrees
Space group C2/m (No. 12)
Asymmetric unit:
Th1 0.0000 0.0000 0.0000 [2 per cell]
Th2 0.1640 0.5000 0.6976 [4 per cell]
Ge1 0.0617 0.0000 0.3944 [4 per cell]
S1 0.1731 0.5000 0.0801 [4 per cell]

---

ThGeS | PBE | optimized geometry

The volume is 449 Å³/cell.

Cell lengths 6.8801, 4.3723, 14.9263 Å; angles 90.00, 90.86, 90.00 degrees
Space group Pm (No. 6)
Asymmetric unit:
Th1 0.0000 0.0000 0.0000 [1 per cell]
Th2 0.0314 0.0000 0.6206 [1 per cell]
Th3 0.1369 0.0000 0.2680 [1 per cell]
Th4 0.5064 0.5000 0.4678 [1 per cell]
Th5 0.5945 0.5000 0.7959 [1 per cell]
Th6 0.6303 0.5000 0.1647 [1 per cell]
Ge1 0.2407 0.0000 0.8247 [1 per cell]
Ge2 0.3891 0.0000 0.0951 [1 per cell]
Ge3 0.5824 0.0000 0.3024 [1 per cell]
Ge4 0.8238 0.0000 0.4380 [1 per cell]
Ge5 0.8719 0.5000 0.3506 [1 per cell]
Ge6 0.8803 0.0000 0.8046 [1 per cell]
S1 0.0464 0.5000 0.1413 [1 per cell]
S2 0.2568 0.0000 0.4579 [1 per cell]
S3 0.2666 0.5000 0.9122 [1 per cell]
S4 0.2979 0.5000 0.6433 [1 per cell]
S5 0.7374 0.5000 0.9789 [1 per cell]
S6 0.7694 0.5000 0.6187 [1 per cell]

---

Th6Ge5S | PBE | optimized geometry

The volume is 661 Å³/cell.

Cell lengths 7.4028, 12.8125, 7.3891 Å; angles 90.00, 109.45, 90.00 degrees
Space group C2/m (No. 12)
Asymmetric unit:
Th1 0.2489 0.0000 0.2492 [4 per cell]
Th2 0.2496 0.1660 0.7503 [8 per cell]
Ge1 0.0000 0.1670 0.0000 [4 per cell]
Ge2 0.0000 0.3330 0.5000 [4 per cell]
Ge3 0.0000 0.5000 0.0000 [2 per cell]
S1 0.0000 0.0000 0.5000 [2 per cell]

---

ThGeS | PBE | optimized geometry

The volume is 270 Å³/cell.

Cell lengths 3.9667, 3.9667, 17.1733 Å; angles 90.00, 90.00, 90.00 degrees
Space group I4/mmm (No. 139)
Asymmetric unit:
Th1 0.0000 0.0000 0.1407 [4 per cell]
Ge1 0.0000 0.5000 0.0000 [4 per cell]
S1 0.0000 0.0000 0.3130 [4 per cell]

---

Th5GeS5 | PBE | optimized geometry

The volume is 576 Å³/cell.

Cell lengths 12.8923, 5.7701, 8.1537 Å; angles 90.00, 108.13, 90.00 degrees
Space group C2/m (No. 12)
Asymmetric unit:
Th1 0.0000 0.0000 0.0000 [2 per cell]
Th2 0.1665 0.5000 0.3390 [4 per cell]
Th3 0.1666 0.5000 0.8266 [4 per cell]
Ge1 0.0000 0.5000 0.0000 [2 per cell]
S1 0.0000 0.5000 0.5000 [2 per cell]
S2 0.1609 0.0000 0.3371 [4 per cell]
S3 0.1664 0.0000 0.8306 [4 per cell]

---

Th4Ge3S | PBE | optimized geometry

The volume is 434 Å³/cell.

Cell lengths 6.0064, 6.0064, 12.0231 Å; angles 90.00, 90.00, 90.00 degrees
Space group I4/mmm (No. 139)
Asymmetric unit:
Th1 0.0000 0.0000 0.2493 [4 per cell]
Th2 0.0000 0.5000 0.0000 [4 per cell]
Ge1 0.0000 0.0000 0.5000 [2 per cell]
Ge2 0.0000 0.5000 0.2500 [4 per cell]
S1 0.0000 0.0000 0.0000 [2 per cell]

---

TmThGeS | PBE | optimized geometry

The volume is 291 Å³/cell.

Cell lengths 4.1391, 4.1391, 19.6079 Å; angles 90.00, 90.00, 120.00 degrees
Space group R3m (No. 160, hexagonal axes)
Asymmetric unit:
Tm1 0.0000 0.0000 0.0000 [3 per cell]
Th1 0.0000 0.0000 0.5005 [3 per cell]
Ge1 0.0000 0.0000 0.7463 [3 per cell]
S1 0.0000 0.0000 0.2549 [3 per cell]

---

| no. | total energy (eV/atom) |
| --- | --- |
| 1 | -6.98 |
| 2 | -7.41 |
| 3 | -5.35 |
| 4 | -7.46 |
| 5 | -7.06 |
| 6 | -6.87 |
| 7 | -6.37 |
| 8 | -6.95 |
| 9 | -6.80 |
| 10 | -7.32 |
| 11 | -7.02 |
| 12 | -6.51 |